#i
A geometry-optimized KGdFeTe3 structure. Source: the Open Quantum Materials Database, functional PBE.

Geometry as POSCAR:
```
KGdFeTe3
1.0
2.184 -7.971 0.000
2.184 7.971 0.000
0.000 0.000 11.516
K Gd Fe Te
2 2 2 6
Direct
0.250 0.750 0.750
0.750 0.250 0.250
0.000 0.000 0.000
0.000 0.000 0.500
0.469 0.531 0.250
0.531 0.469 0.750
0.071 0.929 0.250
0.371 0.629 0.067
0.371 0.629 0.433
0.629 0.371 0.567
0.629 0.371 0.933
0.929 0.071 0.750
```

***

#ii
A geometry-optimized KGdFeTe3 structure. Source: the Open Quantum Materials Database, functional PBE.

Geometry as POSCAR:
```
KGdFeTe3
1.0
16.240 0.000 0.000
0.000 4.307 0.000
0.000 0.000 11.749
K Gd Fe Te
4 4 4 12
Direct
0.231 0.250 0.030
0.269 0.750 0.530
0.731 0.250 0.470
0.769 0.750 0.970
0.018 0.250 0.343
0.482 0.750 0.843
0.518 0.250 0.157
0.982 0.750 0.657
0.009 0.750 0.075
0.491 0.250 0.575
0.509 0.750 0.425
0.991 0.250 0.925
0.089 0.750 0.881
0.105 0.250 0.575
0.129 0.750 0.230
0.371 0.250 0.730
0.395 0.750 0.075
0.411 0.250 0.381
0.589 0.750 0.619
0.605 0.250 0.925
0.629 0.750 0.270
0.871 0.250 0.770
0.895 0.750 0.425
0.911 0.250 0.119
```

***

Stability, descending: #ii, #i

***

#i
A geometry-optimized LiGdFeTe3 structure. Source: the Open Quantum Materials Database, functional PBE.

Geometry as POSCAR:
```
LiGdFeTe3
1.0
2.091 -7.081 0.000
2.091 7.081 0.000
0.000 0.000 11.416
Li Gd Fe Te
2 2 2 6
Direct
0.202 0.798 0.750
0.798 0.202 0.250
0.000 0.000 0.000
0.000 0.000 0.500
0.474 0.526 0.250
0.526 0.474 0.750
0.089 0.911 0.250
0.353 0.647 0.076
0.353 0.647 0.424
0.647 0.353 0.576
0.647 0.353 0.924
0.911 0.089 0.750
```

***

#ii
A geometry-optimized LiGdFeTe3 structure. Source: the Open Quantum Materials Database, functional PBE.

Geometry as POSCAR:
```
LiGdFeTe3
1.0
13.962 0.000 0.000
0.000 4.129 0.000
0.000 0.000 11.695
Li Gd Fe Te
4 4 4 12
Direct
0.213 0.250 0.081
0.287 0.750 0.581
0.713 0.250 0.419
0.787 0.750 0.919
0.001 0.250 0.338
0.499 0.750 0.838
0.501 0.250 0.162
0.999 0.750 0.662
0.005 0.750 0.072
0.495 0.250 0.572
0.505 0.750 0.428
0.995 0.250 0.928
0.116 0.750 0.891
0.132 0.250 0.552
0.137 0.750 0.234
0.363 0.250 0.734
0.368 0.750 0.052
0.384 0.250 0.391
0.616 0.750 0.609
0.632 0.250 0.948
0.637 0.750 0.266
0.863 0.250 0.766
0.868 0.750 0.448
0.884 0.250 0.109
```

***

Stability, descending: #ii, #i

***

#i
A geometry-optimized NaGdFe structure. Source: the Open Quantum Materials Database, functional PBE.

Geometry as POSCAR:
```
NaGdFe
1.0
0.000 3.415 3.415
3.415 0.000 3.415
3.415 3.415 0.000
Na Gd Fe
1 1 1
Direct
0.000 0.000 0.000
0.750 0.750 0.750
0.500 0.500 0.500
```

***

#ii
A geometry-optimized NaGdFe structure. Source: the Open Quantum Materials Database, functional PBE.

Geometry as POSCAR:
```
NaGdFe
1.0
0.000 3.399 3.399
3.399 0.000 3.399
3.399 3.399 0.000
Na Gd Fe
1 1 1
Direct
0.000 0.000 0.000
0.500 0.500 0.500
0.750 0.750 0.750
```

***

Stability, descending: #ii, #i

***

#i
A geometry-optimized NaGdFeS3 structure. Source: the Open Quantum Materials Database, functional PBE.

Geometry as POSCAR:
```
NaGdFeS3
1.0
1.963 -6.398 0.000
1.963 6.398 0.000
0.000 0.000 10.552
Na Gd Fe S
2 2 2 6
Direct
0.247 0.753 0.750
0.753 0.247 0.250
0.000 0.000 0.000
0.000 0.000 0.500
0.473 0.527 0.250
0.527 0.473 0.750
0.076 0.924 0.250
0.365 0.635 0.079
0.365 0.635 0.421
0.635 0.365 0.579
0.635 0.365 0.921
0.924 0.076 0.750
```

***

#ii
A geometry-optimized NaGdFeS3 structure. Source: the Open Quantum Materials Database, functional PBE.

Geometry as POSCAR:
```
NaGdFeS3
1.0
13.274 0.000 0.000
0.000 3.889 0.000
0.000 0.000 10.786
Na Gd Fe S
4 4 4 12
Direct
0.231 0.250 0.059
0.269 0.750 0.559
0.731 0.250 0.441
0.769 0.750 0.941
0.013 0.250 0.341
0.487 0.750 0.841
0.513 0.250 0.159
0.987 0.750 0.659
0.008 0.750 0.083
0.492 0.250 0.583
0.508 0.750 0.417
0.992 0.250 0.917
0.092 0.750 0.892
0.110 0.250 0.564
0.130 0.750 0.231
0.370 0.250 0.731
0.390 0.750 0.064
0.408 0.250 0.392
0.592 0.750 0.608
0.610 0.250 0.936
0.630 0.750 0.269
0.870 0.250 0.769
0.890 0.750 0.436
0.908 0.250 0.108
```

***

Stability, descending: #ii, #i

***

#i
A geometry-optimized GdTlFeTe3 structure. Source: the Open Quantum Materials Database, functional PBE.

Geometry as POSCAR:
```
GdTlFeTe3
1.0
2.158 -7.885 0.000
2.158 7.885 0.000
0.000 0.000 11.435
Gd Tl Fe Te
2 2 2 6
Direct
0.000 0.000 0.000
0.000 0.000 0.500
0.245 0.755 0.750
0.755 0.245 0.250
0.470 0.530 0.250
0.530 0.470 0.750
0.073 0.927 0.250
0.368 0.632 0.068
0.368 0.632 0.432
0.632 0.368 0.568
0.632 0.368 0.932
0.927 0.073 0.750
```

***

#ii
A geometry-optimized GdTlFeTe3 structure. Source: the Open Quantum Materials Database, functional PBE.

Geometry as POSCAR:
```
GdTlFeTe3
1.0
9.894 0.000 0.000
0.000 4.249 0.000
-3.126 0.000 9.535
Gd Tl Fe Te
2 2 2 6
Direct
0.171 0.250 0.147
0.829 0.750 0.853
0.298 0.750 0.783
0.702 0.250 0.217
0.433 0.750 0.423
0.567 0.250 0.577
0.045 0.250 0.825
0.289 0.250 0.478
0.400 0.750 0.150
0.600 0.250 0.850
0.711 0.750 0.522
0.955 0.750 0.175
```

***

Stability, descending: #ii, #i

***

#i
A geometry-optimized Gd3Tm3FeTe2 structure. Source: the Open Quantum Materials Database, functional PBE.

Geometry as POSCAR:
```
Gd3Tm3FeTe2
1.0
8.328 0.000 0.000
-4.164 7.213 0.000
0.000 0.000 3.929
Gd Tm Fe Te
3 3 1 2
Direct
0.000 0.762 0.000
0.238 0.238 0.000
0.762 0.000 0.000
0.000 0.394 0.500
0.394 0.000 0.500
0.606 0.606 0.500
0.000 0.000 0.500
0.333 0.667 0.000
0.667 0.333 0.000
```

***

#ii
A geometry-optimized Gd3Tm3FeTe2 structure. Source: the Open Quantum Materials Database, functional PBE.

Geometry as POSCAR:
```
Gd3Tm3FeTe2
1.0
8.260 0.000 0.000
-4.130 7.153 0.000
0.000 0.000 3.984
Gd Tm Fe Te
3 3 1 2
Direct
0.000 0.393 0.000
0.393 0.000 0.000
0.607 0.607 0.000
0.000 0.769 0.500
0.231 0.231 0.500
0.769 0.000 0.500
0.000 0.000 0.000
0.333 0.667 0.500
0.667 0.333 0.500
```

***

Stability, descending: #ii, #i

***

#i
A geometry-optimized GdFeW structure. Source: the Open Quantum Materials Database, functional PBE.

Geometry as POSCAR:
```
GdFeW
1.0
0.000 3.087 3.087
3.087 0.000 3.087
3.087 3.087 0.000
Gd Fe W
1 1 1
Direct
0.000 0.000 0.000
0.250 0.250 0.250
0.500 0.500 0.500
```

***

#ii
A geometry-optimized GdFeW structure. Source: the Open Quantum Materials Database, functional PBE.

Geometry as POSCAR:
```
GdFeW
1.0
0.000 3.117 3.117
3.117 0.000 3.117
3.117 3.117 0.000
Gd Fe W
1 1 1
Direct
0.000 0.000 0.000
0.750 0.750 0.750
0.250 0.250 0.250
```

***

Stability, descending: #i, #ii

***

#i
A geometry-optimized HfFeNiGe structure. Source: the Open Quantum Materials Database, functional PBE.

Geometry as POSCAR:
```
HfFeNiGe
1.0
0.000 3.083 3.083
3.083 0.000 3.083
3.083 3.083 0.000
Hf Fe Ni Ge
1 1 1 1
Direct
0.000 0.000 0.000
0.500 0.500 0.500
0.750 0.750 0.750
0.250 0.250 0.250
```

***

#ii
A geometry-optimized HfFeNiGe structure. Source: the Open Quantum Materials Database, functional PBE.

Geometry as POSCAR:
```
HfFeNiGe
1.0
0.000 3.083 3.083
3.083 0.000 3.083
3.083 3.083 0.000
Hf Fe Ni Ge
1 1 1 1
Direct
0.000 0.000 0.000
0.750 0.750 0.750
0.500 0.500 0.500
0.250 0.250 0.250
```

***

#iii
A geometry-optimized HfFeNiGe structure. Source: the Open Quantum Materials Database, functional PBE.

Geometry as POSCAR:
```
HfFeNiGe
1.0
0.000 3.030 3.030
3.030 0.000 3.030
3.030 3.030 0.000
Hf Fe Ni Ge
1 1 1 1
Direct
0.000 0.000 0.000
0.750 0.750 0.750
0.250 0.250 0.250
0.500 0.500 0.500
```

***

Stability, descending: #iii, #i, #ii

***

#i
A geometry-optimized LuFeHgGe structure. Source: the Open Quantum Materials Database, functional PBE.

Geometry as POSCAR:
```
LuFeHgGe
1.0
0.000 3.365 3.365
3.365 0.000 3.365
3.365 3.365 0.000
Lu Fe Hg Ge
1 1 1 1
Direct
0.000 0.000 0.000
0.500 0.500 0.500
0.750 0.750 0.750
0.250 0.250 0.250
```

***

#ii
A geometry-optimized LuFeHgGe structure. Source: the Open Quantum Materials Database, functional PBE.

Geometry as POSCAR:
```
LuFeHgGe
1.0
0.000 3.367 3.367
3.367 0.000 3.367
3.367 3.367 0.000
Lu Fe Hg Ge
1 1 1 1
Direct
0.000 0.000 0.000
0.750 0.750 0.750
0.250 0.250 0.250
0.500 0.500 0.500
```

***

Stability, descending: #i, #ii

***

#i
A geometry-optimized FeHgGeMo structure. Source: the Open Quantum Materials Database, functional PBE.

Geometry as POSCAR:
```
FeHgGeMo
1.0
0.000 3.169 3.169
3.169 0.000 3.169
3.169 3.169 0.000
Fe Hg Ge Mo
1 1 1 1
Direct
0.000 0.000 0.000
0.250 0.250 0.250
0.750 0.750 0.750
0.500 0.500 0.500
```

***

#ii
A geometry-optimized FeHgGeMo structure. Source: the Open Quantum Materials Database, functional PBE.

Geometry as POSCAR:
```
FeHgGeMo
1.0
0.000 3.238 3.238
3.238 0.000 3.238
3.238 3.238 0.000
Fe Hg Ge Mo
1 1 1 1
Direct
0.000 0.000 0.000
0.500 0.500 0.500
0.750 0.750 0.750
0.250 0.250 0.250
```

***

Stability, descending: #i, #ii

***

#i
A geometry-optimized NbFeHgGe structure. Source: the Open Quantum Materials Database, functional PBE.

Geometry as POSCAR:
```
NbFeHgGe
1.0
0.000 3.221 3.221
3.221 0.000 3.221
3.221 3.221 0.000
Nb Fe Hg Ge
1 1 1 1
Direct
0.000 0.000 0.000
0.500 0.500 0.500
0.750 0.750 0.750
0.250 0.250 0.250
```

***

#ii
A geometry-optimized NbFeHgGe structure. Source: the Open Quantum Materials Database, functional PBE.

Geometry as POSCAR:
```
NbFeHgGe
1.0
0.000 3.255 3.255
3.255 0.000 3.255
3.255 3.255 0.000
Nb Fe Hg Ge
1 1 1 1
Direct
0.000 0.000 0.000
0.750 0.750 0.750
0.250 0.250 0.250
0.500 0.500 0.500
```

***

Stability, descending: #i, #ii